No. 1
Computed, not measured: CaHg2Bi2Pb2 after structural relaxation at the PBE level of DFT.

Calculated values
E_form (eV/atom): -0.15
Density (g cm⁻³): 10.12
Calculated total energy (eV per cell): -37.71

Lattice parameters (Å, degrees): 11.522 4.417 8.401 90.00 102.15 90.00
Space group C2/m (No. 12)
Unique sites:
1 Ca 0.000 0.000 0.000 (multiplicity 2)
2 Hg 0.205 0.500 0.122 (multiplicity 4)
3 Bi 0.148 0.000 0.410 (multiplicity 4)
4 Pb 0.082 0.500 0.700 (multiplicity 4)

No. 2
Computed, not measured: NbSeCl3 after structural relaxation at the PBE level of DFT.

Calculated values
Formation energy without anion corrections (kcal/mol of atoms): -25.6
Density (g cm⁻³): 3.10
Calculated total energy (eV per cell): -98.58

Lattice parameters (Å, degrees): 6.755 7.294 12.209 90.00 98.28 90.00
Space group P2/c (No. 13)
Unique sites:
1 Nb 0.072 0.128 0.147 (multiplicity 4)
2 Se 0.160 0.391 0.301 (multiplicity 4)
3 Cl 0.141 0.169 0.539 (multiplicity 4)
4 Cl 0.231 0.058 0.802 (multiplicity 4)
5 Cl 0.352 0.255 0.077 (multiplicity 4)

No. 3
Computed, not measured: Mg3Tc after structural relaxation at the PBE level of DFT.

Calculated values
E_form (eV/atom): 0.22
Density (g cm⁻³): 3.88
Calculated total energy (eV per cell): -28.51

Lattice parameters (Å, degrees): 3.059 4.866 9.840 90.00 90.00 90.00
Space group Immm (No. 71)
Unique sites:
1 Mg 0.000 0.000 0.000 (multiplicity 2)
2 Mg 0.000 0.500 0.232 (multiplicity 4)
3 Tc 0.000 0.000 0.500 (multiplicity 2)